First-principles (PBE) data for an optimized crystal structure of Zn2Cd4Ag3, as listed in the Alexandria database.

```
data_Zn2Cd4Ag3
_chemical_formula_sum 'Zn2 Cd4 Ag3'
_symmetry_space_group_name_H-M 'P 3 m 1'
_symmetry_Int_Tables_number 156
_cell_length_a 3.0180
_cell_length_b 3.0180
_cell_length_c 21.9439
_cell_angle_alpha 90.00
_cell_angle_beta 90.00
_cell_angle_gamma 120.00
loop_
_symmetry_equiv_pos_as_xyz
'x,y,z'
'-y,x-y,z'
'-x+y,-x,z'
'-y,-x,z'
'-x+y,y,z'
'x,x-y,z'
loop_
_atom_site_label
_atom_site_fract_x
_atom_site_fract_y
_atom_site_fract_z
_atom_site_occupancy
Zn1 0.0000 0.0000 0.0000 1
Zn2 0.0000 0.0000 0.1979 1
Cd1 0.0000 0.0000 0.3219 1
Cd2 0.0000 0.0000 0.5462 1
Cd3 0.3333 0.6667 0.6676 1
Cd4 0.3333 0.6667 0.8910 1
Ag1 0.0000 0.0000 0.7794 1
Ag2 0.3333 0.6667 0.0987 1
Ag3 0.3333 0.6667 0.4340 1
```

Output
distance to the lowest polymorph of the same formula	0.000	eV per atom
volume	173	Å³/cell
M_tot	0.00	μB per atom

***

First-principles (PBE) data for an optimized crystal structure of ZnCdAg2, as listed in the Alexandria database.

```
data_ZnCdAg2
_chemical_formula_sum 'Zn3 Cd3 Ag6'
_symmetry_space_group_name_H-M 'R 3 m'
_symmetry_Int_Tables_number 160
_symmetry_space_group_name_Hall 'R 3 -2"'
_cell_length_a 2.9538
_cell_length_b 2.9538
_cell_length_c 29.2469
_cell_angle_alpha 90.00
_cell_angle_beta 90.00
_cell_angle_gamma 120.00
loop_
_atom_site_label
_atom_site_fract_x
_atom_site_fract_y
_atom_site_fract_z
_atom_site_occupancy
Zn1 0.0000 0.0000 0.0000 1
Cd1 0.0000 0.0000 0.2417 1
Ag1 0.0000 0.0000 0.4901 1
Ag2 0.0000 0.0000 0.7417 1
```

Output
raw total energy	-1.94	eV per atom
volume	221	Å³/cell
M_tot	0.00	μB per atom

***

First-principles (PBE) data for an optimized crystal structure of Zn3Cd2Ag, as listed in the Alexandria database.

```
data_Zn3Cd2Ag
_chemical_formula_sum 'Zn6 Cd4 Ag2'
_symmetry_space_group_name_H-M 'C 1 2/m 1'
_symmetry_Int_Tables_number 12
_cell_length_a 9.070
_cell_length_b 5.194
_cell_length_c 5.381
_cell_angle_alpha 90.00
_cell_angle_beta 122.97
_cell_angle_gamma 90.00
loop_
_symmetry_equiv_pos_as_xyz
'x,y,z'
'-x,-y,-z'
'-x,y,-z'
'x,-y,z'
'x+1/2,y+1/2,z'
'-x+1/2,-y+1/2,-z'
'-x+1/2,y+1/2,-z'
'x+1/2,-y+1/2,z'
loop_
_atom_site_label
_atom_site_fract_x
_atom_site_fract_y
_atom_site_fract_z
_atom_site_occupancy
Zn1 0.000 0.000 0.000 1
Zn2 0.250 0.250 0.000 1
Cd1 0.125 0.500 0.374 1
Ag1 0.000 0.000 0.500 1
```

Output
raw total energy	-1.42	eV per atom
volume	213	Å³/cell
M_tot	0.00	μB per atom